<a>
Computed, not measured: an optimized crystal structure of Pm3HoAu4 at the GGA-PBE level of DFT.

Values from the calculation:
As for the density of states at the Fermi level: 4.585 states/eV per cell. Its space group is P4/mmm (123).

Cell and atoms, written as POSCAR:
```
Pm3HoAu4
1.0
3.653 0.000 0.000
0.000 3.653 0.000
0.000 0.000 14.737
Pm Ho Au
3 1 4
Direct
0.000 0.000 0.000
0.000 0.000 0.253
0.000 0.000 0.747
0.000 0.000 0.500
0.500 0.500 0.126
0.500 0.500 0.386
0.500 0.500 0.614
0.500 0.500 0.874
```

<b>
Computed, not measured: an optimized crystal structure of Pm3HoAu4 at the GGA-PBE level of DFT.

Values from the calculation:
As for the density of states at the Fermi level: 7.806 states/eV per cell. Its space group is Immm (71).

Cell and atoms, written as POSCAR:
```
Pm3HoAu4
1.0
-1.959 3.533 7.918
1.959 -3.533 7.918
1.959 3.533 -7.918
Pm Ho Au
3 1 4
Direct
0.000 0.000 0.000
0.296 0.796 0.500
0.704 0.204 0.500
0.500 0.500 0.000
0.078 0.372 0.706
0.333 0.628 0.706
0.667 0.372 0.294
0.922 0.628 0.294
```

<a> comes first in stability; the runner-up is 152 meV per atom higher.

<a>
Computed, not measured: an optimized crystal structure of PmHoRhAu at the GGA-PBE level of DFT.

Values from the calculation:
As for the density of states at the Fermi level: 2.672 states/eV per cell. Its space group is Amm2 (38).

Cell and atoms, written as POSCAR:
```
PmHoRhAu
1.0
4.615 0.000 0.000
0.000 1.914 5.273
0.000 -1.914 5.273
Pm Ho Rh Au
1 1 1 1
Direct
0.000 0.000 0.000
0.500 0.719 0.719
0.000 0.263 0.263
0.500 0.436 0.436
```

<b>
Computed, not measured: an optimized crystal structure of PmHoRhAu at the GGA-PBE level of DFT.

Values from the calculation:
As for the density of states at the Fermi level: 4.007 states/eV per cell. Its space group is F-43m (216).

Cell and atoms, written as POSCAR:
```
PmHoRhAu
1.0
0.000 3.557 3.557
3.557 0.000 3.557
3.557 3.557 0.000
Pm Ho Rh Au
1 1 1 1
Direct
0.000 0.000 0.000
0.500 0.500 0.500
0.750 0.750 0.750
0.250 0.250 0.250
```

<a> comes first in stability; the runner-up is 47 meV per atom higher.

<a>
Computed, not measured: an optimized crystal structure of PrHoAu at the GGA-PBE level of DFT.

Values from the calculation:
As for the density of states at the Fermi level: 12.369 states/eV per cell. Its space group is Pnma (62).

Cell and atoms, written as POSCAR:
```
PrHoAu
1.0
7.354 0.000 0.000
0.000 5.030 0.000
0.000 0.000 9.033
Pr Ho Au
4 4 4
Direct
0.012 0.250 0.177
0.488 0.750 0.677
0.512 0.250 0.323
0.988 0.750 0.823
0.148 0.250 0.581
0.352 0.750 0.081
0.648 0.250 0.919
0.852 0.750 0.419
0.244 0.750 0.401
0.256 0.250 0.901
0.744 0.750 0.099
0.756 0.250 0.599
```

<b>
Computed, not measured: an optimized crystal structure of PrHoAu at the GGA-PBE level of DFT.

Values from the calculation:
As for the density of states at the Fermi level: 6.443 states/eV per cell. Its space group is P4/nmm (129).

Cell and atoms, written as POSCAR:
```
PrHoAu
1.0
4.868 0.000 0.000
0.000 4.868 0.000
0.000 0.000 7.356
Pr Ho Au
2 2 2
Direct
0.250 0.250 0.121
0.750 0.750 0.879
0.250 0.750 0.500
0.750 0.250 0.500
0.250 0.250 0.723
0.750 0.750 0.277
```

<c>
Computed, not measured: an optimized crystal structure of PrHoAu at the GGA-PBE level of DFT.

Values from the calculation:
As for the density of states at the Fermi level: 2.999 states/eV per cell. Its space group is P3m1 (156).

Cell and atoms, written as POSCAR:
```
PrHoAu
1.0
4.926 0.000 0.000
-2.463 4.266 0.000
0.000 0.000 4.086
Pr Ho Au
1 1 1
Direct
0.000 0.000 0.000
0.667 0.333 0.486
0.333 0.667 0.596
```

<a> comes first in stability; the runner-up is 27 meV per atom higher.

<a>
Computed, not measured: an optimized crystal structure of PrHoAu at the GGA-PBE level of DFT.

Values from the calculation:
As for the density of states at the Fermi level: 4.058 states/eV per cell. Its space group is I4mm (107).

Cell and atoms, written as POSCAR:
```
PrHoAu
1.0
-1.825 1.825 6.332
1.825 -1.825 6.332
1.825 1.825 -6.332
Pr Ho Au
1 1 1
Direct
0.000 0.000 0.000
0.288 0.288 0.000
0.666 0.666 0.000
```

<b>
Computed, not measured: an optimized crystal structure of PrHoAu at the GGA-PBE level of DFT.

Values from the calculation:
As for the density of states at the Fermi level: 4.252 states/eV per cell. Its space group is F-43m (216).

Cell and atoms, written as POSCAR:
```
PrHoAu
1.0
0.000 3.583 3.583
3.583 0.000 3.583
3.583 3.583 0.000
Pr Ho Au
1 1 1
Direct
0.000 0.000 0.000
0.500 0.500 0.500
0.750 0.750 0.750
```

<a> comes first in stability; the runner-up is 124 meV per atom higher.